{"formula": "Ac2SbCl2", "functional": "PBE", "state": "optimized geometry", "cell": [[2.306, 1.332, 10.423], [-2.306, 1.332, 10.423], [0.000, -2.663, 10.423]], "species": ["Ac", "Ac", "Sb", "Cl", "Cl"], "fractional_positions": [[0.106, 0.106, 0.106], [0.894, 0.894, 0.894], [0.500, 0.500, 0.500], [0.278, 0.278, 0.278], [0.722, 0.722, 0.722]], "space_group": "R-3m (166)", "rho_g_cm3": 5.591, "e_form_raw_ev_per_atom": -1.7545, "crystal_system": "trigonal", "volume_a3_per_atom": 38.410, "dos_at_fermi_per_ev_cell": 2.39}



{"formula": "MoPbIN2", "functional": "PBE", "state": "optimized geometry", "cell": [[4.373, 0.000, 0.000], [0.000, 4.373, 0.000], [0.000, 0.000, 6.317]], "species": ["Mo", "Pb", "I", "N", "N"], "fractional_positions": [[0.000, 0.000, 0.000], [0.500, 0.500, 0.500], [0.500, 0.500, 0.000], [0.000, 0.500, 0.500], [0.500, 0.000, 0.500]], "space_group": "P4/mmm (123)", "rho_g_cm3": 6.295, "e_form_raw_ev_per_atom": 2.1607, "crystal_system": "tetragonal", "volume_a3_per_atom": 24.166, "dos_at_fermi_per_ev_cell": 6.99}



{"formula": "GeN2Cl3", "functional": "PBE", "state": "optimized geometry", "cell": [[7.239, 0.000, 0.000], [-2.958, 7.581, 0.000], [-1.511, -2.964, 7.642]], "species": ["Ge", "Ge", "N", "N", "N", "N", "Cl", "Cl", "Cl", "Cl", "Cl", "Cl"], "fractional_positions": [[0.025, 0.342, 0.288], [0.975, 0.658, 0.712], [0.256, 0.125, 0.723], [0.269, 0.242, 0.674], [0.731, 0.758, 0.326], [0.744, 0.875, 0.277], [0.201, 0.655, 0.427], [0.220, 0.706, 0.939], [0.248, 0.248, 0.198], [0.752, 0.752, 0.802], [0.780, 0.294, 0.061], [0.799, 0.345, 0.573]], "space_group": "P-1 (2)", "rho_g_cm3": 1.639, "e_form_raw_ev_per_atom": -0.4192, "crystal_system": "triclinic", "volume_a3_per_atom": 34.949, "dos_at_fermi_per_ev_cell": 0.13}



{"formula": "LiTl4Cd", "functional": "PBE", "state": "optimized geometry", "cell": [[0.000, 4.540, 4.540], [4.540, 0.000, 4.540], [4.540, 4.540, 0.000]], "species": ["Li", "Tl", "Tl", "Tl", "Tl", "Cd"], "fractional_positions": [[0.000, 0.000, 0.000], [0.125, 0.625, 0.625], [0.625, 0.125, 0.625], [0.625, 0.625, 0.125], [0.625, 0.625, 0.625], [0.250, 0.250, 0.250]], "space_group": "F-43m (216)", "rho_g_cm3": 8.314, "crystal_system": "cubic", "e_form_ev_per_atom": 0.12, "volume_a3_per_atom": 31.186, "dos_at_fermi_per_ev_cell": 2.23}



{"formula": "Sc2NiB2Ru5", "functional": "PBE", "state": "optimized geometry", "cell": [[9.277, 0.000, 0.000], [0.000, 9.277, 0.000], [0.000, 0.000, 3.031]], "species": ["Sc", "Sc", "Sc", "Sc", "Ni", "Ni", "B", "B", "B", "B", "Ru", "Ru", "Ru", "Ru", "Ru", "Ru", "Ru", "Ru", "Ru", "Ru"], "fractional_positions": [[0.175, 0.325, 0.000], [0.325, 0.825, 0.000], [0.675, 0.175, 0.000], [0.825, 0.675, 0.000], [0.000, 0.000, 0.000], [0.500, 0.500, 0.000], [0.126, 0.626, 0.000], [0.374, 0.126, 0.000], [0.626, 0.874, 0.000], [0.874, 0.374, 0.000], [0.000, 0.500, 0.500], [0.071, 0.788, 0.500], [0.212, 0.071, 0.500], [0.288, 0.571, 0.500], [0.429, 0.288, 0.500], [0.500, 0.000, 0.500], [0.571, 0.712, 0.500], [0.712, 0.429, 0.500], [0.788, 0.929, 0.500], [0.929, 0.212, 0.500]], "space_group": "P4/mbm (127)", "rho_g_cm3": 8.600, "crystal_system": "tetragonal", "e_form_ev_per_atom": -0.44, "volume_a3_per_atom": 13.044, "dos_at_fermi_per_ev_cell": 16.36}



{"formula": "RbGaSn", "functional": "PBE", "state": "optimized geometry", "cell": [[4.643, 0.000, 0.000], [-2.090, 6.226, 0.000], [-2.153, -1.314, 7.144]], "species": ["Rb", "Rb", "Ga", "Ga", "Sn", "Sn"], "fractional_positions": [[0.000, 0.000, 0.000], [0.452, 0.584, 0.293], [0.218, 0.569, 0.723], [0.683, 0.416, 0.790], [0.295, 0.991, 0.615], [0.806, 0.183, 0.446]], "space_group": "P1 (1)", "rho_g_cm3": 4.405, "crystal_system": "triclinic", "e_form_ev_per_atom": -0.17, "volume_a3_per_atom": 34.417, "dos_at_fermi_per_ev_cell": 0.26}